Entry from Alexandria via LeMat-Bulk: a geometry-optimized KLi2Mn structure (GGA-PBE).

Properties
The value obtained for the total energy is -11.89 eV per cell. The energy above the most stable polymorph in this dataset comes out at 91 meV/atom. The space-group type is R-3m, No. 166. The calculation puts the energy relative to the elements at 0.5507 eV per atom.

The structure in POSCAR format:
```
KLi2Mn
1.0
1.653 0.954 11.068
-1.653 0.954 11.068
0.000 -1.909 11.068
K Li Mn
1 2 1
Cartesian
0.000 0.000 0.000 K
0.000 0.000 7.719 Li
0.000 0.000 25.485 Li
0.000 0.000 16.602 Mn
```

Entry from Alexandria via LeMat-Bulk: a geometry-optimized TiCoN2 structure (GGA-PBE).

Properties
The value obtained for the total energy is -67.41 eV per cell. The energy above the most stable polymorph in this dataset comes out at 181 meV/atom. The calculation puts the uncorrected formation energy at -0.513 eV/atom. The space-group type is P6_3/mmc, No. 194.

The structure in POSCAR format:
```
TiCoN2
1.0
2.945 0.000 0.000
-1.473 2.550 0.000
0.000 0.000 9.409
Ti Co N
2 2 4
Cartesian
0.000 1.700 2.352 Ti
1.473 0.850 7.057 Ti
0.000 0.000 0.000 Co
0.000 0.000 4.705 Co
0.000 1.700 5.804 N
0.000 1.700 8.310 N
1.473 0.850 1.100 N
1.473 0.850 3.605 N
```

Entry from Alexandria via LeMat-Bulk: a geometry-optimized K2LaPt structure (GGA-PBE).

Properties
The value obtained for the total energy is -11.45 eV per cell. The energy above the most stable polymorph in this dataset comes out at 808 meV/atom. The space-group type is R-3m, No. 166. The calculation puts the energy relative to the elements at 0.4274 eV per atom.

The structure in POSCAR format:
```
K2LaPt
1.0
1.744 1.007 12.694
-1.744 1.007 12.694
0.000 -2.014 12.694
K La Pt
2 1 1
Cartesian
0.000 0.000 8.835 K
0.000 0.000 29.246 K
0.000 0.000 0.000 La
0.000 0.000 19.040 Pt
```

Entry from Alexandria via LeMat-Bulk: a geometry-optimized TlPdI4 structure (GGA-PBE).

Properties
The value obtained for the total energy is -30.78 eV per cell. The energy above the most stable polymorph in this dataset comes out at 0 meV/atom. The calculation puts the uncorrected formation energy at -0.272 eV/atom. The space-group type is C2/c, No. 15.

The structure in POSCAR format:
```
TlPdI4
1.0
8.316 -3.472 0.000
8.316 3.472 0.000
-1.859 0.000 7.630
Tl Pd I
2 2 8
Cartesian
6.922 2.359 5.723 Tl
7.852 -2.359 1.908 Tl
4.158 1.736 0.000 Pd
3.229 -1.736 3.815 Pd
1.956 0.327 5.213 I
2.885 -0.327 1.398 I
6.656 0.862 0.528 I
9.047 0.862 3.288 I
5.727 -0.862 4.343 I
8.118 -0.862 7.103 I
11.889 0.327 6.232 I
12.818 -0.327 2.417 I
```